## Sr2PrF8 (PBE)

Data for a relaxed Sr2PrF8 crystal.

Results
- VASP energy (eV/atom) = -5.6898
- energy relative to the lowest polymorph listed for this composition (eV/atom) = 0.000
- raw formation energy (eV per atom) = -3.59
- M_tot (μB per formula unit) = 1.0
- crystal system = monoclinic

Cell: 7.5302 7.5302 5.8956 Å, 110.85 110.85 31.83°
With the nearest neighbours (Å) after each atom.
Positions (direct):
Sr1 0.1738 0.1738 0.1890  9 F 2.51-2.67
Sr2 0.8262 0.8262 0.8110  9 F 2.51-2.67
Pr1 0.5000 0.5000 0.5000  8 F 2.40-2.45
F1 0.0204 0.0204 0.3000  2 Pr 2.45, 1 Sr 2.54, 3 F 2.64-2.72
F2 0.2202 0.2202 0.8187  1 F 2.47, 3 Sr 2.51-2.58
F3 0.3410 0.3410 0.5394  1 Pr 2.40, 3 Sr 2.54-2.67
F4 0.3996 0.3996 0.0717  1 Pr 2.40, 1 F 2.47, 2 Sr 2.56
F5 0.6004 0.6004 0.9283  1 Pr 2.40, 1 F 2.47, 2 Sr 2.56
F6 0.6590 0.6590 0.4606  1 Pr 2.40, 3 Sr 2.54-2.67
F7 0.7798 0.7798 0.1813  1 F 2.47, 3 Sr 2.51-2.58
F8 0.9796 0.9796 0.7000  2 Pr 2.45, 1 Sr 2.54, 3 F 2.64-2.72